Computed, not measured: crystalline Pr2Si2O7 at its relaxed geometry at the GGA-PBE level of DFT.

Lattice parameters (Å, degrees): 5.3963 8.6628 14.0573 90.00 112.39 90.00
With the nearest neighbours (Å) after each atom.
Element x y z (fractional)
O1 0.8194 0.8236 0.1743  1 Si 1.62
Pr1 0.8478 0.8958 0.5893  4 O 2.28-2.52
Pr2 0.1522 0.3958 0.9107  4 O 2.28-2.52
Pr3 0.5197 0.8087 0.2697  5 O 2.37-2.47
Pr4 0.4803 0.1913 0.7303  5 O 2.37-2.47
O2 0.2582 0.7630 0.5958  1 Si 1.62
Si1 0.2030 0.7485 0.9747  4 O 1.62-1.66
O3 0.1681 0.9282 0.9377  2 Si 1.63-1.64
Pr5 0.1522 0.1042 0.4107  4 O 2.28-2.52
Si2 0.9074 0.4973 0.6782  4 O 1.62-1.64
O4 0.1681 0.5718 0.4377  2 Si 1.63-1.64
O5 0.4272 0.6562 0.9435  1 Si 1.64
Pr6 0.4803 0.3087 0.2303  5 O 2.37-2.47
O6 0.4272 0.8438 0.4435  1 Si 1.64
O7 0.1806 0.3236 0.3257  1 Si 1.62
O8 0.7418 0.2370 0.4042  1 Si 1.62
O9 0.8194 0.6764 0.6743  1 Si 1.62
Si3 0.0926 0.5027 0.3218  4 O 1.62-1.64
O10 0.2274 0.4729 0.7479  1 Si 1.64
Pr7 0.5197 0.6913 0.7697  5 O 2.37-2.47
Si4 0.9074 0.0027 0.1782  4 O 1.62-1.64
O11 0.7726 0.9729 0.7521  1 Si 1.64
O12 0.1806 0.1764 0.8257  1 Si 1.62
O13 0.5728 0.1562 0.5565  1 Si 1.64
Si5 0.2030 0.7515 0.4747  4 O 1.62-1.66
O14 0.0759 0.1458 0.5797  1 Si 1.66
O15 0.7418 0.2630 0.9042  1 Si 1.62
O16 0.2593 0.9148 0.7603  1 Si 1.63
O17 0.0759 0.3542 0.0797  1 Si 1.66
Pr8 0.8478 0.6042 0.0893  4 O 2.28-2.52
O18 0.2274 0.0271 0.2479  1 Si 1.64
O19 0.7407 0.4148 0.7397  1 Si 1.63
Si6 0.7970 0.2515 0.0253  4 O 1.62-1.66
O20 0.2593 0.5852 0.2603  1 Si 1.63
O21 0.2582 0.7370 0.0958  1 Si 1.62
O22 0.9241 0.8542 0.4203  1 Si 1.66
O23 0.7407 0.0852 0.2397  1 Si 1.63
Si7 0.7970 0.2485 0.5253  4 O 1.62-1.66
O24 0.5728 0.3438 0.0565  1 Si 1.64
O25 0.8319 0.4282 0.5623  2 Si 1.63-1.64
O26 0.9241 0.6458 0.9203  1 Si 1.66
O27 0.7726 0.5271 0.2521  1 Si 1.64
O28 0.8319 0.0718 0.0623  2 Si 1.63-1.64
Si8 0.0926 0.9973 0.8218  4 O 1.62-1.64

Calculated values
- Crystal system: monoclinic
- Total DFT energy (no corrections): -8.1659 eV/atom